# 1
Here is KCaI2N after structural relaxation from Alexandria. Energies are from PBE-GGA.

Magnetization: 2.17 μB/f.u.
Space-group type: P4/mmm, No. 123
Polymorph energy (0 for the lowest one): 384.8 kJ/mol of formula units
Energy relative to the elements, uncorrected: 0.223 eV per atom
N(E_F): 4.302 states/eV/f.u.

Cell lengths 6.2847, 6.2847, 4.9020 Å; angles 90.00, 90.00, 90.00 degrees
Each line ends with the local moment (μB).
Atoms (fractional coordinates):
N: 0.0000 0.0000 0.5000  1.43
K: 0.0000 0.0000 0.0000  0.05
Ca: 0.5000 0.5000 0.5000  -0.04
I: 0.0000 0.5000 0.0000  0.02
I: 0.5000 0.0000 0.0000  0.02


# 2
Here is KCaI2N after structural relaxation from Alexandria. Energies are from PBE-GGA.

Magnetization: 2.00 μB/f.u.
Space-group type: P4/mmm, No. 123
Polymorph energy (0 for the lowest one): 0.0 kJ/mol of formula units
Energy relative to the elements, uncorrected: -0.575 eV per atom
N(E_F): 0.156 states/eV/f.u.

Cell lengths 6.3102, 6.3102, 4.8066 Å; angles 90.00, 90.00, 90.00 degrees
Each line ends with the local moment (μB).
Atoms (fractional coordinates):
I: 0.5000 0.0000 0.0000  0.03
Ca: 0.0000 0.0000 0.0000  0.00
I: 0.0000 0.5000 0.0000  0.03
K: 0.5000 0.5000 0.5000  0.00
N: 0.0000 0.0000 0.5000  1.15


# 3
Here is KNa2CaI after structural relaxation from Alexandria. Energies are from PBE-GGA.

Magnetization: 0.24 μB/f.u.
Space-group type: P4/mmm, No. 123
Energy relative to the elements, uncorrected: -0.208 eV per atom
N(E_F): 5.411 states/eV/f.u.

Cell lengths 6.2300, 6.6546, 6.2300 Å; angles 90.00, 90.00, 90.00 degrees
Atoms (fractional coordinates):
K: 0.0000 0.5000 0.0000
Na: 0.5000 0.0000 0.0000
I: 0.0000 0.0000 0.0000
Na: 0.0000 0.0000 0.5000
Ca: 0.5000 0.5000 0.5000


# 4
Here is KCaNdI6 after structural relaxation from Alexandria. Energies are from PBE-GGA.

Magnetization: 0.00 μB/f.u.
Space-group type: P-31c, No. 163
Energy relative to the elements, uncorrected: -1.501 eV per atom
N(E_F): 0.000 states/eV/f.u.

Cell lengths 8.1010, 8.1010, 15.4966 Å; angles 90.00, 90.00, 120.00 degrees
Atoms (fractional coordinates):
Nd: 0.3333 0.6667 0.7500
I: 0.9986 0.6319 0.3669
K: 0.0000 0.0000 0.0000
Ca: 0.6667 0.3333 0.7500
I: 0.6319 0.9986 0.8669
I: 0.6333 0.6319 0.1331
Ca: 0.3333 0.6667 0.2500
Nd: 0.6667 0.3333 0.2500
I: 0.3681 0.3667 0.3669
I: 0.0014 0.6333 0.8669
K: 0.0000 0.0000 0.5000
I: 0.3667 0.3681 0.8669
I: 0.3667 0.9986 0.6331
I: 0.3681 0.0014 0.1331
I: 0.6333 0.0014 0.3669
I: 0.6319 0.6333 0.6331
I: 0.9986 0.3667 0.1331
I: 0.0014 0.3681 0.6331


# 5
Here is K2CaNpI8 after structural relaxation from Alexandria. Energies are from PBE-GGA.

Magnetization: 2.96 μB/f.u.
Space-group type: P2/m, No. 10
Energy relative to the elements, uncorrected: -1.182 eV per atom
N(E_F): 4.390 states/eV/f.u.

Cell lengths 8.2025, 7.5980, 9.5159 Å; angles 90.01, 89.99, 93.06 degrees
Each line ends with the local moment (μB).
Atoms (fractional coordinates):
Np: 0.0000 0.0000 0.0000  3.37
I: 0.1281 0.7712 0.7677  -0.05
I: 0.8719 0.2288 0.2323  -0.05
I: 0.6856 0.7725 0.5000  -0.01
K: 0.4999 0.5001 0.2574  0.00
I: 0.1280 0.7711 0.2322  -0.05
I: 0.3173 0.2117 0.0000  -0.06
I: 0.8720 0.2289 0.7678  -0.05
Ca: 0.0000 0.0000 0.5000  0.00
K: 0.5001 0.4999 0.7426  0.00
I: 0.3144 0.2275 0.5000  -0.01
I: 0.6827 0.7883 0.0000  -0.06


# 6
Here is K2Ca2IO6 after structural relaxation from Alexandria. Energies are from PBE-GGA.

Magnetization: 0.90 μB/f.u.
Space-group type: C2/m, No. 12
Energy relative to the elements, uncorrected: -1.702 eV per atom
N(E_F): 2.987 states/eV/f.u.

Cell lengths 5.8596, 5.8596, 6.6411 Å; angles 98.74, 98.74, 118.67 degrees
Each line ends with the local moment (μB).
Atoms (fractional coordinates):
O: 0.6508 0.9467 0.3236  0.10
K: 0.1700 0.8300 0.0000  0.00
O: 0.9467 0.6508 0.3236  0.10
O: 0.0533 0.3492 0.6764  0.10
Ca: 0.6638 0.3362 0.5000  0.01
Ca: 0.3362 0.6638 0.5000  0.01
K: 0.8300 0.1700 0.0000  0.00
O: 0.2244 0.2244 0.3213  0.10
O: 0.7756 0.7756 0.6787  0.10
O: 0.3492 0.0533 0.6764  0.10
I: 0.0000 0.0000 0.5000  0.10


# 7
Here is KCaI2O after structural relaxation from Alexandria. Energies are from PBE-GGA.

Magnetization: 1.00 μB/f.u.
Space-group type: P4/mmm, No. 123
Polymorph energy (0 for the lowest one): 0.0 kJ/mol of formula units
Energy relative to the elements, uncorrected: -1.364 eV per atom
N(E_F): 4.622 states/eV/f.u.

Cell lengths 6.3290, 6.3290, 4.4731 Å; angles 90.00, 90.00, 90.00 degrees
Each line ends with the local moment (μB).
Atoms (fractional coordinates):
Ca: 0.0000 0.0000 0.0000  -0.01
I: 0.5000 0.0000 0.0000  0.06
K: 0.5000 0.5000 0.5000  0.00
O: 0.0000 0.0000 0.5000  0.66
I: 0.0000 0.5000 0.0000  0.06


# 8
Here is KCaI2O after structural relaxation from Alexandria. Energies are from PBE-GGA.

Magnetization: 1.02 μB/f.u.
Space-group type: P4/mmm, No. 123
Polymorph energy (0 for the lowest one): 386.7 kJ/mol of formula units
Energy relative to the elements, uncorrected: -0.562 eV per atom
N(E_F): 5.588 states/eV/f.u.

Cell lengths 6.2088, 6.2088, 4.6317 Å; angles 90.00, 90.00, 90.00 degrees
Each line ends with the local moment (μB).
Atoms (fractional coordinates):
O: 0.0000 0.0000 0.5000  -0.80
I: 0.5000 0.0000 0.0000  -0.01
Ca: 0.5000 0.5000 0.5000  0.01
K: 0.0000 0.0000 0.0000  -0.04
I: 0.0000 0.5000 0.0000  -0.01


# 9
Here is K3Ca3IO8 after structural relaxation from Alexandria. Energies are from PBE-GGA.

Magnetization: 0.00 μB/f.u.
Space-group type: R-3m, No. 166
Energy relative to the elements, uncorrected: -1.844 eV per atom

Cell lengths 6.9417, 6.9420, 7.4329 Å; angles 117.84, 90.00, 120.00 degrees
Atoms (fractional coordinates):
O: 0.8096 0.0169 0.3266
K: 0.0000 0.0000 0.0000
O: 0.1904 0.9831 0.6734
O: 0.1904 0.3807 0.6734
I: 0.0000 0.0000 0.5000
O: 0.2738 0.5476 0.3214
K: 0.0000 0.5000 0.0000
O: 0.7262 0.4524 0.6786
O: 0.2074 0.0169 0.3265
Ca: 0.0000 0.5000 0.5000
O: 0.8096 0.6193 0.3266
Ca: 0.5000 0.5000 0.5000
Ca: 0.5000 0.0000 0.5000
O: 0.7926 0.9831 0.6735
K: 0.5000 0.5000 0.0000


# 10
Here is KCa2IO6 after structural relaxation from Alexandria. Energies are from PBE-GGA.

Magnetization: 0.00 μB/f.u.
Space-group type: R3, No. 146
Energy relative to the elements, uncorrected: -1.742 eV per atom
N(E_F): 0.000 states/eV/f.u.

Cell lengths 5.8577, 5.8576, 6.2066 Å; angles 61.84, 61.84, 60.00 degrees
Atoms (fractional coordinates):
Ca: 0.5300 0.5300 0.4100
O: 0.5387 0.2560 0.2183
Ca: 0.0139 0.0139 0.9584
K: 0.7998 0.7998 0.6006
O: 0.9869 0.5387 0.2183
O: 0.1631 0.3737 0.7906
O: 0.3737 0.6726 0.7906
O: 0.2560 0.9869 0.2183
O: 0.6726 0.1631 0.7906
I: 0.3268 0.3268 0.0195


# 11
Here is K2CaOsI after structural relaxation from Alexandria. Energies are from PBE-GGA.

Magnetization: 1.02 μB/f.u.
Space-group type: P4/mmm, No. 123
Polymorph energy (0 for the lowest one): 0.0 kJ/mol of formula units
Energy relative to the elements, uncorrected: 0.420 eV per atom
N(E_F): 2.039 states/eV/f.u.

Cell lengths 6.2053, 5.3169, 6.2053 Å; angles 90.00, 90.00, 90.00 degrees
Each line ends with the local moment (μB).
Atoms (fractional coordinates):
I: 0.5000 0.5000 0.5000  0.00
Ca: 0.0000 0.5000 0.0000  -0.03
K: 0.5000 0.0000 0.0000  0.01
Os: 0.0000 0.0000 0.0000  1.01
K: 0.0000 0.0000 0.5000  0.00


# 12
Here is K2CaOsI after structural relaxation from Alexandria. Energies are from PBE-GGA.

Magnetization: 3.01 μB/f.u.
Space-group type: P4/mmm, No. 123
Polymorph energy (0 for the lowest one): 374.9 kJ/mol of formula units
Energy relative to the elements, uncorrected: 1.197 eV per atom
N(E_F): 1.342 states/eV/f.u.

Cell lengths 7.3751, 5.8670, 7.3751 Å; angles 90.00, 90.00, 90.00 degrees
Each line ends with the local moment (μB).
Atoms (fractional coordinates):
Os: 0.5000 0.5000 0.5000  2.74
K: 0.0000 0.0000 0.5000  0.00
I: 0.0000 0.5000 0.0000  0.00
Ca: 0.0000 0.0000 0.0000  -0.01
K: 0.5000 0.0000 0.0000  -0.01


# 13
Here is KCaPmI6 after structural relaxation from Alexandria. Energies are from PBE-GGA.

Magnetization: 0.00 μB/f.u.
Space-group type: P-31c, No. 163
Energy relative to the elements, uncorrected: -1.501 eV per atom
N(E_F): 0.000 states/eV/f.u.

Cell lengths 8.0712, 8.0712, 15.5198 Å; angles 90.00, 90.00, 120.00 degrees
Atoms (fractional coordinates):
I: 0.3654 0.3687 0.8663
K: 0.0000 0.0000 0.5000
Pm: 0.3333 0.6667 0.7500
I: 0.6346 0.6313 0.1337
I: 0.3687 0.3654 0.3663
I: 0.0033 0.6346 0.8663
I: 0.6313 0.6346 0.6337
Ca: 0.3333 0.6667 0.2500
I: 0.3687 0.0033 0.1337
I: 0.9967 0.6313 0.3663
Ca: 0.6667 0.3333 0.7500
I: 0.6313 0.9967 0.8663
I: 0.9967 0.3654 0.1337
I: 0.6346 0.0033 0.3663
I: 0.0033 0.3687 0.6337
K: 0.0000 0.0000 0.0000
I: 0.3654 0.9967 0.6337
Pm: 0.6667 0.3333 0.2500


# 14
Here is KCa2PmI8 after structural relaxation from Alexandria. Energies are from PBE-GGA.

Magnetization: 0.00 μB/f.u.
Space-group type: P2/m, No. 10
Energy relative to the elements, uncorrected: -1.479 eV per atom
N(E_F): 0.000 states/eV/f.u.

Cell lengths 7.7488, 7.2694, 9.6427 Å; angles 89.98, 89.99, 89.68 degrees
Atoms (fractional coordinates):
K: 0.0000 0.0000 0.5000
I: 0.6648 0.7433 0.0000
Ca: 0.5001 0.5000 0.7480
I: 0.1651 0.7517 0.7755
I: 0.1649 0.7515 0.2245
I: 0.8351 0.2485 0.7755
Ca: 0.4999 0.5000 0.2520
I: 0.3352 0.2567 0.0000
I: 0.3648 0.2665 0.5001
I: 0.8349 0.2483 0.2245
Pm: 0.0000 0.0000 0.0000
I: 0.6352 0.7335 0.4999


# 15
Here is K2CaPuI6 after structural relaxation from Alexandria. Energies are from PBE-GGA.

Magnetization: 6.00 μB/f.u.
Space-group type: P2_1/c, No. 14
Energy relative to the elements, uncorrected: -1.360 eV per atom
N(E_F): 19.495 states/eV/f.u.

Cell lengths 8.2575, 8.8204, 12.0482 Å; angles 90.00, 89.86, 90.00 degrees
Each line ends with the local moment (μB).
Atoms (fractional coordinates):
I: 0.1830 0.1958 0.4391  -0.01
I: 0.6208 0.0331 0.2467  -0.01
K: 0.5337 0.5892 0.7511  0.00
I: 0.8113 0.8099 0.9401  -0.01
Ca: 0.5000 0.0000 0.0000  0.02
Pu: 0.5000 0.0000 0.5000  5.81
I: 0.6830 0.3042 0.9391  -0.01
K: 0.9663 0.0892 0.7489  0.00
I: 0.6887 0.3099 0.5599  -0.01
I: 0.3113 0.6901 0.4401  -0.01
Ca: 0.0000 0.5000 0.5000  0.02
Pu: 0.0000 0.5000 0.0000  5.81
K: 0.4663 0.4108 0.2489  0.00
I: 0.3792 0.9669 0.7533  -0.01
I: 0.3170 0.6958 0.0609  -0.01
I: 0.1887 0.1901 0.0599  -0.01
K: 0.0337 0.9108 0.2511  0.00
I: 0.1208 0.4669 0.7467  -0.01
I: 0.8170 0.8042 0.5609  -0.01
I: 0.8792 0.5331 0.2533  -0.01


# 16
Here is KCaPuI6 after structural relaxation from Alexandria. Energies are from PBE-GGA.

Magnetization: 5.00 μB/f.u.
Space-group type: P-31c, No. 163
Energy relative to the elements, uncorrected: -1.339 eV per atom
N(E_F): 14.102 states/eV/f.u.

Cell lengths 8.0796, 8.0796, 15.4645 Å; angles 90.00, 90.00, 120.00 degrees
Each line ends with the local moment (μB).
Atoms (fractional coordinates):
I: 0.6364 0.0034 0.3655  -0.03
I: 0.0034 0.3669 0.6345  -0.03
K: 0.0000 0.0000 0.0000  0.00
I: 0.3636 0.9966 0.6345  -0.03
K: 0.0000 0.0000 0.5000  0.00
I: 0.6364 0.6331 0.1345  -0.03
Pu: 0.6667 0.3333 0.2500  5.13
Ca: 0.3333 0.6667 0.2500  0.00
I: 0.9966 0.6331 0.3655  -0.03
I: 0.3636 0.3669 0.8655  -0.03
I: 0.6331 0.9966 0.8655  -0.03
Ca: 0.6667 0.3333 0.7500  0.00
I: 0.0034 0.6364 0.8655  -0.03
I: 0.3669 0.0034 0.1345  -0.03
I: 0.3669 0.3636 0.3655  -0.03
I: 0.6331 0.6364 0.6345  -0.03
I: 0.9966 0.3636 0.1345  -0.03
Pu: 0.3333 0.6667 0.7500  5.13


# 17
Here is KRb2CaI6 after structural relaxation from Alexandria. Energies are from PBE-GGA.

Magnetization: 0.00 μB/f.u.
Space-group type: Fm-3m, No. 225
Energy relative to the elements, uncorrected: -1.238 eV per atom
N(E_F): 16.315 states/eV/f.u.

Cell lengths 9.0708, 9.0708, 9.0710 Å; angles 60.00, 60.00, 90.00 degrees
Atoms (fractional coordinates):
I: 0.2397 0.2397 0.0000
K: 0.5000 0.5000 0.0000
I: 0.2397 0.2397 0.5207
I: 0.7603 0.7603 0.0000
I: 0.2397 0.7603 0.0000
Ca: 0.0000 0.0000 0.0000
I: 0.7603 0.2397 0.0000
Rb: 0.7500 0.2500 0.5000
Rb: 0.2500 0.7500 0.5000
I: 0.7603 0.7603 0.4793


# 18
Here is K2RbCaI5 after structural relaxation from Alexandria. Energies are from PBE-GGA.

Magnetization: 0.00 μB/f.u.
Space-group type: Immm, No. 71
Energy relative to the elements, uncorrected: -1.486 eV per atom
N(E_F): 0.000 states/eV/f.u.

Cell lengths 5.9882, 8.6438, 10.0576 Å; angles 115.45, 107.32, 90.00 degrees
Atoms (fractional coordinates):
Ca: 0.5000 0.0000 0.0000
Rb: 0.0000 0.5000 0.0000
I: 0.3675 0.6171 0.7351
K: 0.7947 0.7947 0.5895
I: 0.6325 0.3829 0.2649
I: 0.3675 0.1180 0.7351
I: 0.6325 0.8820 0.2649
K: 0.2053 0.2053 0.4105
I: 0.0000 0.0000 0.0000


# 19
Here is KRb2CaI5 after structural relaxation from Alexandria. Energies are from PBE-GGA.

Magnetization: 0.00 μB/f.u.
Space-group type: Immm, No. 71
Energy relative to the elements, uncorrected: -1.478 eV per atom
N(E_F): 0.000 states/eV/f.u.

Cell lengths 5.9939, 8.6695, 10.3363 Å; angles 114.80, 106.85, 90.00 degrees
Atoms (fractional coordinates):
I: 0.6270 0.8740 0.2539
Ca: 0.5000 0.0000 0.0000
K: 0.0000 0.5000 0.0000
I: 0.3730 0.1260 0.7461
I: 0.6270 0.3799 0.2539
Rb: 0.7952 0.7952 0.5904
I: 0.0000 0.0000 0.0000
I: 0.3730 0.6201 0.7461
Rb: 0.2048 0.2048 0.4096


# 20
Here is KRbCaI2 after structural relaxation from Alexandria. Energies are from PBE-GGA.

Magnetization: 0.00 μB/f.u.
Space-group type: P4/mmm, No. 123
Energy relative to the elements, uncorrected: -0.518 eV per atom
N(E_F): 0.010 states/eV/f.u.

Cell lengths 6.5288, 6.9892, 6.5288 Å; angles 90.00, 90.00, 90.00 degrees
Atoms (fractional coordinates):
Rb: 0.0000 0.5000 0.0000
K: 0.0000 0.0000 0.0000
Ca: 0.5000 0.5000 0.5000
I: 0.0000 0.0000 0.5000
I: 0.5000 0.0000 0.0000


# 21
Here is K3Ca2S2I3 after structural relaxation from Alexandria. Energies are from PBE-GGA.

Magnetization: 0.00 μB/f.u.
Space-group type: I4/mmm, No. 139
Energy relative to the elements, uncorrected: -1.611 eV per atom
N(E_F): 0.000 states/eV/f.u.

Cell lengths 5.2067, 5.2067, 15.2872 Å; angles 99.81, 99.81, 90.00 degrees
Atoms (fractional coordinates):
S: 0.7778 0.7778 0.5557
Ca: 0.2500 0.7500 0.5000
S: 0.2222 0.2222 0.4443
I: 0.0000 0.0000 0.0000
Ca: 0.7500 0.2500 0.5000
K: 0.8829 0.8829 0.7657
K: 0.5000 0.5000 0.0000
I: 0.6246 0.6246 0.2491
K: 0.1171 0.1171 0.2343
I: 0.3754 0.3754 0.7509


# 22
Here is KCaSbI2 after structural relaxation from Alexandria. Energies are from PBE-GGA.

Magnetization: 2.02 μB/f.u.
Space-group type: P4/mmm, No. 123
Polymorph energy (0 for the lowest one): 317.1 kJ/mol of formula units
Energy relative to the elements, uncorrected: -0.144 eV per atom
N(E_F): 2.948 states/eV/f.u.

Cell lengths 6.1699, 6.1699, 6.3984 Å; angles 90.00, 90.00, 90.00 degrees
Each line ends with the local moment (μB).
Atoms (fractional coordinates):
K: 0.0000 0.0000 0.0000  0.04
I: 0.5000 0.0000 0.0000  0.08
Ca: 0.5000 0.5000 0.5000  -0.01
Sb: 0.0000 0.0000 0.5000  0.67
I: 0.0000 0.5000 0.0000  0.08